Entry 1:
The following is a GGA-PBE calculation of a relaxed TcPIr crystal, from Alexandria. Values from VASP.

Quantum ESPRESSO input file:
```
&SYSTEM
  ibrav = 0, nat = 3, ntyp = 3
/
ATOMIC_SPECIES
Tc 98.00 Tc.upf
P 30.97 P.upf
Ir 192.22 Ir.upf
ATOMIC_POSITIONS crystal
Tc 0.0000 0.0000 0.0000
P 0.6472 0.6472 0.3528
Ir 0.3018 0.3018 0.6982
CELL_PARAMETERS angstrom
0.0000 2.4470 6.1018
1.4471 0.0000 6.1018
1.4471 2.4470 0.0000
```

Values from the calculation:
N(E_F) = 2.943 states/eV per cell
formation enthalpy at 0 K = 245 meV/atom
theoretical density = 12.34 g cm⁻³

---

Entry 2:
The following is a GGA-PBE calculation of a relaxed MnHg2Pd crystal, from Alexandria. Values from VASP.

Quantum ESPRESSO input file:
```
&SYSTEM
  ibrav = 0, nat = 4, ntyp = 3
/
ATOMIC_SPECIES
Mn 54.94 Mn.upf
Hg 200.59 Hg.upf
Pd 106.42 Pd.upf
ATOMIC_POSITIONS crystal
Mn 0.0000 0.0000 0.0000
Hg 0.2500 0.2500 0.2500
Hg 0.7500 0.7500 0.7500
Pd 0.5000 0.5000 0.5000
CELL_PARAMETERS angstrom
0.0000 3.3074 3.3074
3.3074 0.0000 3.3074
3.3074 3.3074 0.0000
```

Values from the calculation:
N(E_F) = 2.107 states/eV per cell
formation enthalpy at 0 K = 65 meV/atom
theoretical density = 12.91 g cm⁻³

---

Entry 3:
The following is a GGA-PBE calculation of a relaxed NdLuCoOs crystal, from Alexandria. Values from VASP.

Quantum ESPRESSO input file:
```
&SYSTEM
  ibrav = 0, nat = 4, ntyp = 4
/
ATOMIC_SPECIES
Nd 144.24 Nd.upf
Lu 174.97 Lu.upf
Co 58.93 Co.upf
Os 190.23 Os.upf
ATOMIC_POSITIONS crystal
Nd 0.0000 0.0000 0.0000
Lu 0.5000 0.5000 0.5000
Co 0.2500 0.2500 0.2500
Os 0.7500 0.7500 0.7500
CELL_PARAMETERS angstrom
0.0000 3.4095 3.4095
3.4095 0.0000 3.4095
3.4095 3.4095 0.0000
```

Values from the calculation:
N(E_F) = 4.399 states/eV per cell
formation enthalpy at 0 K = -33 meV/atom
theoretical density = 11.91 g cm⁻³

---

Entry 4:
The following is a GGA-PBE calculation of a relaxed SrMoRh2 crystal, from Alexandria. Values from VASP.

Quantum ESPRESSO input file:
```
&SYSTEM
  ibrav = 0, nat = 4, ntyp = 3
/
ATOMIC_SPECIES
Sr 87.62 Sr.upf
Mo 95.94 Mo.upf
Rh 102.91 Rh.upf
ATOMIC_POSITIONS crystal
Sr 0.0000 0.0000 0.0000
Mo 0.5000 0.5000 0.0000
Rh 0.2891 0.7891 0.5000
Rh 0.7109 0.2109 0.5000
CELL_PARAMETERS angstrom
-2.0416 2.5707 3.6950
2.0416 -2.5707 3.6950
2.0416 2.5707 -3.6950
```

Values from the calculation:
N(E_F) = 4.280 states/eV per cell
formation enthalpy at 0 K = 391 meV/atom
theoretical density = 8.34 g cm⁻³

---

Entry 5:
The following is a GGA-PBE calculation of a relaxed TbPmHo6Er2 crystal, from Alexandria. Values from VASP.

Quantum ESPRESSO input file:
```
&SYSTEM
  ibrav = 0, nat = 20, ntyp = 4
/
ATOMIC_SPECIES
Tb 158.93 Tb.upf
Pm 145.00 Pm.upf
Ho 164.93 Ho.upf
Er 167.26 Er.upf
ATOMIC_POSITIONS crystal
Tb 0.0908 0.9092 0.7500
Tb 0.9092 0.0908 0.2500
Pm 0.4736 0.5264 0.2500
Pm 0.5264 0.4736 0.7500
Ho 0.0093 0.7919 0.3817
Ho 0.0662 0.5191 0.1822
Ho 0.2081 0.9907 0.1183
Ho 0.2511 0.6220 0.5569
Ho 0.3780 0.7489 0.9431
Ho 0.4809 0.9338 0.3178
Ho 0.5191 0.0662 0.6822
Ho 0.6220 0.2511 0.0569
Ho 0.7489 0.3780 0.4431
Ho 0.7919 0.0093 0.8817
Ho 0.9338 0.4809 0.8178
Ho 0.9907 0.2081 0.6183
Er 0.1973 0.3024 0.9536
Er 0.3024 0.1973 0.4536
Er 0.6976 0.8027 0.5464
Er 0.8027 0.6976 0.0464
CELL_PARAMETERS angstrom
4.5256 -7.4716 0.0000
4.5256 7.4716 0.0000
-1.1483 0.0000 9.4105
```

Values from the calculation:
N(E_F) = 29.573 states/eV per cell
formation enthalpy at 0 K = 123 meV/atom
theoretical density = 8.50 g cm⁻³

---

Entry 6:
The following is a GGA-PBE calculation of a relaxed PrErTlSn crystal, from Alexandria. Values from VASP.

Quantum ESPRESSO input file:
```
&SYSTEM
  ibrav = 0, nat = 4, ntyp = 4
/
ATOMIC_SPECIES
Pr 140.91 Pr.upf
Er 167.26 Er.upf
Tl 204.38 Tl.upf
Sn 118.71 Sn.upf
ATOMIC_POSITIONS crystal
Pr 0.0000 0.0000 0.0000
Er 0.5000 0.5000 0.5000
Tl 0.7500 0.7500 0.7500
Sn 0.2500 0.2500 0.2500
CELL_PARAMETERS angstrom
0.0000 3.8442 3.8442
3.8442 0.0000 3.8442
3.8442 3.8442 0.0000
```

Values from the calculation:
N(E_F) = 2.952 states/eV per cell
formation enthalpy at 0 K = -457 meV/atom
theoretical density = 9.23 g cm⁻³

---

Entry 7:
The following is a GGA-PBE calculation of a relaxed Ta2PCl6 crystal, from Alexandria. Values from VASP.

Quantum ESPRESSO input file:
```
&SYSTEM
  ibrav = 0, nat = 18, ntyp = 3
/
ATOMIC_SPECIES
Ta 180.95 Ta.upf
P 30.97 P.upf
Cl 35.45 Cl.upf
ATOMIC_POSITIONS crystal
Ta 0.0592 0.0601 0.3914
Ta 0.3127 0.8908 0.5105
Ta 0.6873 0.1092 0.4895
Ta 0.9408 0.9399 0.6086
P 0.3977 0.3891 0.8774
P 0.6023 0.6109 0.1226
Cl 0.0475 0.8709 0.2785
Cl 0.2404 0.6057 0.8905
Cl 0.2406 0.3153 0.3509
Cl 0.2484 0.1859 0.9897
Cl 0.2705 0.5927 0.5718
Cl 0.4200 0.0578 0.6317
Cl 0.5800 0.9422 0.3683
Cl 0.7295 0.4073 0.4282
Cl 0.7516 0.8141 0.0103
Cl 0.7594 0.6847 0.6491
Cl 0.7596 0.3943 0.1095
Cl 0.9525 0.1291 0.7215
CELL_PARAMETERS angstrom
7.1795 0.0000 0.0000
0.1016 7.8359 0.0000
1.4953 3.2001 12.0590
```

Values from the calculation:
N(E_F) = 3.911 states/eV per cell
theoretical density = 2.96 g cm⁻³
electronic total energy = -5.064 eV per atom

---

Entry 8:
The following is a GGA-PBE calculation of a relaxed CsSe2SBr crystal, from Alexandria. Values from VASP.

Quantum ESPRESSO input file:
```
&SYSTEM
  ibrav = 0, nat = 5, ntyp = 4
/
ATOMIC_SPECIES
Cs 132.91 Cs.upf
Se 78.96 Se.upf
S 32.06 S.upf
Br 79.90 Br.upf
ATOMIC_POSITIONS crystal
Cs 0.0000 0.0000 0.0000
Se 0.0000 0.5000 0.0000
Se 0.5000 0.0000 0.0000
S 0.5000 0.5000 0.5000
Br 0.0000 0.0000 0.5000
CELL_PARAMETERS angstrom
7.3477 0.0000 0.0000
0.0000 7.3477 0.0000
0.0000 0.0000 6.8056
```

Values from the calculation:
N(E_F) = 7.884 states/eV per cell
theoretical density = 1.82 g cm⁻³
electronic total energy = -1.758 eV per atom

---

Entry 9:
The following is a GGA-PBE calculation of a relaxed Tb3CeEr6Tm2 crystal, from Alexandria. Values from VASP.

Quantum ESPRESSO input file:
```
&SYSTEM
  ibrav = 0, nat = 12, ntyp = 4
/
ATOMIC_SPECIES
Tb 158.93 Tb.upf
Ce 140.12 Ce.upf
Er 167.26 Er.upf
Tm 168.93 Tm.upf
ATOMIC_POSITIONS crystal
Tb 0.0000 0.0000 0.0000
Tb 0.3325 0.6675 0.0000
Tb 0.6675 0.3325 0.0000
Ce 0.5000 0.5000 0.5000
Er 0.0852 0.4166 0.2513
Er 0.2518 0.2518 0.7488
Er 0.4166 0.0852 0.2513
Er 0.5834 0.9148 0.7487
Er 0.7482 0.7482 0.2512
Er 0.9148 0.5834 0.7487
Tm 0.1667 0.8333 0.5000
Tm 0.8333 0.1667 0.5000
CELL_PARAMETERS angstrom
3.0482 -5.2760 0.0000
3.0482 5.2760 0.0000
-2.0288 0.0000 11.4807
```

Values from the calculation:
N(E_F) = 18.492 states/eV per cell
formation enthalpy at 0 K = 35 meV/atom
theoretical density = 8.81 g cm⁻³

---

Entry 10:
The following is a GGA-PBE calculation of a relaxed GeAsPd2 crystal, from Alexandria. Values from VASP.

Quantum ESPRESSO input file:
```
&SYSTEM
  ibrav = 0, nat = 4, ntyp = 3
/
ATOMIC_SPECIES
Ge 72.64 Ge.upf
As 74.92 As.upf
Pd 106.42 Pd.upf
ATOMIC_POSITIONS crystal
Ge 0.0000 0.0000 0.0000
As 0.8194 0.8194 0.8194
Pd 0.3979 0.3979 0.3979
Pd 0.5942 0.5942 0.5942
CELL_PARAMETERS angstrom
2.0451 1.1807 4.8917
-2.0451 1.1807 4.8917
0.0000 -2.3614 4.8917
```

Values from the calculation:
N(E_F) = 2.016 states/eV per cell
formation enthalpy at 0 K = -217 meV/atom
theoretical density = 8.44 g cm⁻³

---

Entry 11:
The following is a GGA-PBE calculation of a relaxed ThMg2Hg3 crystal, from Alexandria. Values from VASP.

Quantum ESPRESSO input file:
```
&SYSTEM
  ibrav = 0, nat = 12, ntyp = 3
/
ATOMIC_SPECIES
Th 232.04 Th.upf
Mg 24.30 Mg.upf
Hg 200.59 Hg.upf
ATOMIC_POSITIONS crystal
Th 0.0000 0.0000 0.2500
Th 0.0000 0.0000 0.7500
Mg 0.3333 0.6667 0.0882
Mg 0.3333 0.6667 0.4118
Mg 0.6667 0.3333 0.5882
Mg 0.6667 0.3333 0.9118
Hg 0.0000 0.0000 0.0000
Hg 0.0000 0.0000 0.5000
Hg 0.3333 0.6667 0.6353
Hg 0.3333 0.6667 0.8647
Hg 0.6667 0.3333 0.1353
Hg 0.6667 0.3333 0.3647
CELL_PARAMETERS angstrom
4.8992 0.0000 0.0000
-2.4496 4.2429 0.0000
0.0000 0.0000 13.8513
```

Values from the calculation:
N(E_F) = 4.937 states/eV per cell
formation enthalpy at 0 K = -231 meV/atom
theoretical density = 10.18 g cm⁻³

---

Entry 12:
The following is a GGA-PBE calculation of a relaxed DyBi12O20 crystal, from Alexandria. Values from VASP.

Quantum ESPRESSO input file:
```
&SYSTEM
  ibrav = 0, nat = 33, ntyp = 3
/
ATOMIC_SPECIES
Dy 162.50 Dy.upf
Bi 208.98 Bi.upf
O 16.00 O.upf
ATOMIC_POSITIONS crystal
Dy 0.0000 0.0000 0.0000
Bi 0.1433 0.3137 0.8216
Bi 0.1705 0.8567 0.6783
Bi 0.1784 0.4921 0.3217
Bi 0.3137 0.8216 0.1433
Bi 0.3217 0.1784 0.4921
Bi 0.4921 0.3217 0.1784
Bi 0.5079 0.6863 0.8295
Bi 0.6783 0.1705 0.8567
Bi 0.6863 0.8295 0.5079
Bi 0.8216 0.1433 0.3137
Bi 0.8295 0.5079 0.6863
Bi 0.8567 0.6783 0.1705
O 0.0000 0.0000 0.2464
O 0.0000 0.0000 0.6649
O 0.0000 0.2464 0.0000
O 0.0000 0.6649 0.0000
O 0.1135 0.7583 0.3797
O 0.2417 0.3552 0.6214
O 0.2464 0.0000 0.0000
O 0.2662 0.6448 0.8865
O 0.3351 0.3351 0.3351
O 0.3552 0.6214 0.2417
O 0.3786 0.7338 0.6203
O 0.3797 0.1135 0.7583
O 0.6203 0.3786 0.7338
O 0.6214 0.2417 0.3552
O 0.6448 0.8865 0.2662
O 0.6649 0.0000 0.0000
O 0.7338 0.6203 0.3786
O 0.7536 0.7536 0.7536
O 0.7583 0.3797 0.1135
O 0.8865 0.2662 0.6448
CELL_PARAMETERS angstrom
-5.1604 5.1604 5.1604
5.1604 -5.1604 5.1604
5.1604 5.1604 -5.1604
```

Values from the calculation:
N(E_F) = 20.593 states/eV per cell
theoretical density = 9.03 g cm⁻³
electronic total energy = -5.887 eV per atom